A geometry-optimized Mg3AlPd3 structure, computed with PBE.

a b c (Å): 5.378 5.378 5.378
angles (deg): 108.82 108.82 108.82
Fractional coordinates of all 7 atoms:
Mg (0.000, 0.500, 0.500)
Mg (0.500, 0.000, 0.500)
Mg (0.500, 0.500, 0.000)
Al (0.999, 0.999, 0.999)
Pd (0.000, 0.000, 0.500)
Pd (0.000, 0.500, 0.000)
Pd (0.500, 0.000, 0.000)

Calculated values
formation energy	-0.657	eV per atom
magnetization	0.00	μB/cell